Entry one
A relaxed Y3MgN crystal. Source: the Alexandria database, functional GGA-PBE.

abc: 5.791 14.434 6.474
angles: 90.00 90.00 90.00
Sites, in units of the cell vectors:
Y 0.005 0.122 0.066
Y 0.005 0.378 0.066
Y 0.028 0.250 0.569
Y 0.472 0.750 0.069
Y 0.495 0.622 0.566
Y 0.495 0.878 0.566
Y 0.505 0.122 0.434
Y 0.505 0.378 0.434
Y 0.528 0.250 0.931
Y 0.972 0.750 0.431
Y 0.995 0.622 0.934
Y 0.995 0.878 0.934
Mg 0.000 0.000 0.500
Mg 0.000 0.500 0.500
Mg 0.500 0.000 0.000
Mg 0.500 0.500 0.000
N 0.072 0.750 0.101
N 0.428 0.250 0.601
N 0.572 0.750 0.399
N 0.928 0.250 0.899

Calculated values
Symmetry: Pnma
Spin magnetization, μB/f.u.: 0.00

Entry two
A relaxed Y3MgN crystal. Source: the Alexandria database, functional GGA-PBE.

abc: 4.510 4.510 8.920
angles: 90.00 90.00 90.00
Sites, in units of the cell vectors:
Y 0.000 0.000 0.000
Y 0.000 0.500 0.673
Y 0.500 0.000 0.673
Mg 0.000 0.000 0.378
N 0.500 0.500 0.624

Calculated values
Symmetry: P4mm
Spin magnetization, μB/f.u.: 1.69

Which of them is most stable, and which least? Most stable: entry one; least stable: entry two.

Entry one
A relaxed FeTcCl2 crystal. Source: the Alexandria database, functional GGA-PBE.

abc: 3.061 2.987 8.516
angles: 90.00 90.51 90.00
Sites, in units of the cell vectors:
Fe 0.000 0.000 0.000
Tc 0.504 0.500 0.169
Cl 0.510 0.000 0.385
Cl 0.997 0.500 0.801

Calculated values
Symmetry: Pm
Spin magnetization, μB/f.u.: 1.71

Entry two
A relaxed FeTcCl2 crystal. Source: the Alexandria database, functional GGA-PBE.

abc: 3.118 3.118 6.465
angles: 90.00 90.00 90.00
Sites, in units of the cell vectors:
Fe 0.000 0.000 0.000
Tc 0.000 0.000 0.500
Cl 0.500 0.500 0.236
Cl 0.500 0.500 0.764

Calculated values
Symmetry: P4/mmm
Spin magnetization, μB/f.u.: 0.08

Which of them is most stable, and which least? Most stable: entry one; least stable: entry two.

Entry one
A relaxed Na2FeCu crystal. Source: the Alexandria database, functional GGA-PBE.

abc: 4.841 4.841 4.841
angles: 60.00 60.00 60.00
Sites, in units of the cell vectors:
Na 0.250 0.250 0.250
Na 0.750 0.750 0.750
Fe 0.000 0.000 0.000
Cu 0.500 0.500 0.500

Calculated values
Symmetry: Fm-3m
Spin magnetization, μB/f.u.: 3.11

Entry two
A relaxed Na2FeCu crystal. Source: the Alexandria database, functional GGA-PBE.

abc: 6.193 6.193 6.193
angles: 100.04 100.04 130.65
Sites, in units of the cell vectors:
Na 0.103 0.625 0.978
Na 0.375 0.353 0.478
Na 0.647 0.125 0.022
Na 0.875 0.897 0.522
Fe 0.250 0.750 0.500
Fe 0.500 0.500 0.000
Cu 0.000 0.000 0.000
Cu 0.750 0.250 0.500

Calculated values
Symmetry: I-42d
Spin magnetization, μB/f.u.: 3.04

Which of them is most stable, and which least? Most stable: entry two; least stable: entry one.